Pd2RhSe4: optimized geometry, PBE-GGA.

Cell: 4.9709 4.9709 12.2837 Å, 90.00 90.00 90.00°
Space group I4/mmm (No. 139)
Unique sites:
Pd1 0.0000 0.0000 0.1073 (multiplicity 4)
Rh1 0.0000 0.0000 0.5000 (multiplicity 2)
Se1 0.0000 0.0000 0.3002 (multiplicity 4)
Se2 0.0000 0.5000 0.0000 (multiplicity 4)

Summary:
Mass density, g/cm³: 6.9
E_tot, eV/cell: -60.40
ΔE_f (raw), eV per formula unit: 1.5